Entry 1:
# GeAs2PbSe

A relaxed structure of GeAs2PbSe (PBE-GGA, Alexandria).

Summary:
The space group is P4/mmm (123). As for the density of states at the Fermi level: 6.19 states/eV/f.u. The value obtained for the formation energy (no corrections) is 522 meV/atom.

Cell lengths 5.3109, 5.3109, 5.5440 Å; angles 90.00, 90.00, 90.00 degrees
Closest atoms and distances in Å follow each position.
Fractional coordinates of all 5 atoms:
Ge1 0.0000 0.0000 0.0000  4 As 2.66, 2 Se 2.77
As1 0.0000 0.5000 0.0000  2 Ge 2.66
As2 0.5000 0.0000 0.0000  2 Ge 2.66
Pb1 0.5000 0.5000 0.5000  4 Se 3.76, 8 As 3.84
Se1 0.0000 0.0000 0.5000  2 Ge 2.77


Entry 2:
# GeAs2PbSe

A relaxed structure of GeAs2PbSe (PBE-GGA, Alexandria).

Summary:
The space group is P4/mmm (123). As for the density of states at the Fermi level: 5.52 states/eV/f.u. The value obtained for the formation energy (no corrections) is 1119 meV/atom.

Cell lengths 5.6696, 5.6696, 5.7800 Å; angles 90.00, 90.00, 90.00 degrees
Closest atoms and distances in Å follow each position.
Fractional coordinates of all 5 atoms:
Ge1 0.0000 0.0000 0.0000  4 Se 4.01, 8 As 4.05
As1 0.0000 0.5000 0.5000  2 Pb 2.83
As2 0.5000 0.0000 0.5000  2 Pb 2.83
Pb1 0.5000 0.5000 0.5000  4 As 2.83, 2 Se 2.89
Se1 0.5000 0.5000 0.0000  2 Pb 2.89


Entry 3:
# Th6Ge3As2Pb

A relaxed structure of Th6Ge3As2Pb (PBE-GGA, Alexandria).

Summary:
As for the formation energy: -885.4 meV/atom. The space group is C2/m (12). As for the density of states at the Fermi level: 6.86 states/eV/f.u.

Cell lengths 9.6932, 9.6932, 8.6956 Å; angles 102.93, 102.93, 25.83 degrees
Closest atoms and distances in Å follow each position.
Fractional coordinates of all 12 atoms:
Th1 0.0010 0.0010 0.2658  3 Ge 2.98-3.05, 1 As 3.07, 2 Pb 3.16
Th2 0.3270 0.3270 0.9150  3 Ge 2.98-3.07, 2 As 3.08, 1 Pb 3.18
Th3 0.3336 0.3336 0.4153  3 As 3.05-3.07, 3 Ge 3.05-3.06
Th4 0.6664 0.6664 0.5847  3 As 3.05-3.07, 3 Ge 3.05-3.06
Th5 0.6730 0.6730 0.0850  3 Ge 2.98-3.07, 2 As 3.08, 1 Pb 3.18
Th6 0.9990 0.9990 0.7342  3 Ge 2.98-3.05, 1 As 3.07, 2 Pb 3.16
Ge1 0.1649 0.1649 0.8315  6 Th 2.98-3.07
Ge2 0.5000 0.5000 0.5000  6 Th 2.98-3.06
Ge3 0.8351 0.8351 0.1685  6 Th 2.98-3.07
As1 0.1679 0.1679 0.3346  6 Th 3.05-3.08
As2 0.8321 0.8321 0.6654  6 Th 3.05-3.08
Pb1 0.5000 0.5000 0.0000  6 Th 3.16-3.18


| no. | volume (Å³/cell) | ρ (g/cm3) |
| --- | --- | --- |
| 1 | 156 | 5.4 |
| 2 | 186 | 4.5 |
| 3 | 346 | 9.4 |